Model P:
Sr2Al3Ga5 (PBE-GGA, optimized geometry); total moment = 0.00 μB/atom
1.0
-5.461 6.272 3.178
5.461 -6.272 3.178
5.461 6.272 -3.178
Sr Al Ga
4 6 10
direct
0.126 0.242 0.368 Sr
0.374 0.742 0.117 Sr
0.626 0.258 0.883 Sr
0.874 0.758 0.632 Sr
0.129 0.874 0.004 Al
0.250 0.750 0.500 Al
0.371 0.374 0.745 Al
0.629 0.626 0.255 Al
0.750 0.250 0.500 Al
0.871 0.126 0.996 Al
0.011 0.750 0.261 Ga
0.119 0.640 0.759 Ga
0.250 0.250 0.000 Ga
0.381 0.140 0.520 Ga
0.489 0.750 0.739 Ga
0.511 0.250 0.261 Ga
0.619 0.860 0.480 Ga
0.750 0.750 0.000 Ga
0.881 0.360 0.241 Ga
0.989 0.250 0.739 Ga

=====

Model Q:
Sr2Al3Ga5 (PBE-GGA, optimized geometry); total moment = 0.00 μB/atom
1.0
4.459 0.000 0.000
0.000 4.459 0.000
0.000 0.000 11.019
Sr Al Ga
2 3 5
direct
0.000 0.500 0.247 Sr
0.500 0.000 0.753 Sr
0.000 0.500 0.634 Al
0.500 0.000 0.366 Al
0.500 0.500 0.500 Al
0.000 0.000 0.000 Ga
0.000 0.000 0.500 Ga
0.000 0.500 0.868 Ga
0.500 0.000 0.132 Ga
0.500 0.500 0.000 Ga

=====

What should be chosen as the most stable of them? Choose model P.

=====

Model P:
Sr2AlGa2 (PBE-GGA, optimized geometry); total moment = 0.00 μB/atom
1.0
5.819 -2.324 0.000
5.819 2.324 0.000
-5.570 0.000 10.073
Sr Al Ga
4 2 4
direct
0.003 0.003 0.331 Sr
0.190 0.190 0.108 Sr
0.810 0.810 0.892 Sr
0.997 0.997 0.669 Sr
0.282 0.282 0.645 Al
0.718 0.718 0.355 Al
0.355 0.355 0.446 Ga
0.489 0.489 0.116 Ga
0.511 0.511 0.884 Ga
0.645 0.645 0.554 Ga

=====

Model Q:
Sr2AlGa2 (PBE-GGA, optimized geometry); total moment = 0.00 μB/atom
1.0
7.315 0.000 0.000
0.000 7.315 0.000
0.000 0.000 5.061
Sr Al Ga
4 2 4
direct
0.181 0.319 0.000 Sr
0.319 0.819 0.000 Sr
0.681 0.181 0.000 Sr
0.819 0.681 0.000 Sr
0.000 0.000 0.500 Al
0.500 0.500 0.500 Al
0.127 0.627 0.500 Ga
0.373 0.127 0.500 Ga
0.627 0.873 0.500 Ga
0.873 0.373 0.500 Ga

=====

What should be chosen as the most stable of them? Choose model P.

=====

Model P:
SrAlGa3 (PBE-GGA, optimized geometry); total moment = 0.00 μB/atom
1.0
5.846 0.000 0.000
0.000 5.846 0.000
0.000 0.000 5.846
Sr Al Ga
1 1 3
direct
0.000 0.000 0.000 Sr
0.500 0.500 0.500 Al
0.000 0.000 0.500 Ga
0.000 0.500 0.000 Ga
0.500 0.000 0.000 Ga

=====

Model Q:
SrAlGa3 (PBE-GGA, optimized geometry); total moment = 0.00 μB/atom
1.0
-2.239 2.239 5.445
2.239 -2.239 5.445
2.239 2.239 -5.445
Sr Al Ga
1 1 3
direct
0.000 0.000 0.000 Sr
0.623 0.623 0.000 Al
0.253 0.753 0.500 Ga
0.387 0.387 0.000 Ga
0.753 0.253 0.500 Ga

=====

What should be chosen as the most stable of them? Choose model Q.

=====

Model P:
Sr3Al2Ga3 (PBE-GGA, optimized geometry); total moment = 0.00 μB/atom
1.0
2.337 -5.723 0.000
2.337 5.723 0.000
0.000 0.000 15.632
Sr Al Ga
6 4 6
direct
0.086 0.914 0.610 Sr
0.086 0.914 0.890 Sr
0.376 0.624 0.750 Sr
0.624 0.376 0.250 Sr
0.914 0.086 0.110 Sr
0.914 0.086 0.390 Sr
0.211 0.789 0.094 Al
0.211 0.789 0.406 Al
0.789 0.211 0.594 Al
0.789 0.211 0.906 Al
0.323 0.677 0.250 Ga
0.382 0.618 0.533 Ga
0.382 0.618 0.967 Ga
0.618 0.382 0.033 Ga
0.618 0.382 0.467 Ga
0.677 0.323 0.750 Ga

=====

Model Q:
Sr3Al2Ga3 (PBE-GGA, optimized geometry); total moment = 0.00 μB/atom
1.0
8.597 0.000 0.000
0.000 15.678 0.000
0.000 0.000 6.337
Sr Al Ga
12 8 12
direct
0.042 0.110 0.127 Sr
0.042 0.390 0.127 Sr
0.187 0.250 0.602 Sr
0.313 0.750 0.102 Sr
0.458 0.610 0.627 Sr
0.458 0.890 0.627 Sr
0.542 0.110 0.373 Sr
0.542 0.390 0.373 Sr
0.687 0.250 0.898 Sr
0.813 0.750 0.398 Sr
0.958 0.610 0.873 Sr
0.958 0.890 0.873 Sr
0.105 0.598 0.388 Al
0.105 0.902 0.388 Al
0.395 0.098 0.888 Al
0.395 0.402 0.888 Al
0.605 0.598 0.112 Al
0.605 0.902 0.112 Al
0.895 0.098 0.612 Al
0.895 0.402 0.612 Al
0.169 0.750 0.583 Ga
0.187 0.037 0.621 Ga
0.187 0.463 0.621 Ga
0.313 0.537 0.121 Ga
0.313 0.963 0.121 Ga
0.331 0.250 0.083 Ga
0.669 0.750 0.917 Ga
0.687 0.037 0.879 Ga
0.687 0.463 0.879 Ga
0.813 0.537 0.379 Ga
0.813 0.963 0.379 Ga
0.831 0.250 0.417 Ga

=====

What should be chosen as the most stable of them? Choose model P.

=====

Model P:
Sr3Al2Ga4 (PBE-GGA, optimized geometry); total moment = 0.00 μB/atom
1.0
5.760 -2.289 0.000
5.760 2.289 0.000
-2.473 0.000 8.654
Sr Al Ga
3 2 4
direct
0.000 0.000 0.000 Sr
0.373 0.373 0.312 Sr
0.627 0.627 0.688 Sr
0.328 0.328 0.671 Al
0.672 0.672 0.329 Al
0.102 0.102 0.429 Ga
0.274 0.274 0.939 Ga
0.726 0.726 0.061 Ga
0.898 0.898 0.571 Ga

=====

Model Q:
Sr3Al2Ga4 (PBE-GGA, optimized geometry); total moment = 0.00 μB/atom
1.0
4.394 0.000 0.000
-2.197 3.805 0.000
0.000 0.000 28.982
Sr Al Ga
6 4 8
direct
0.000 0.000 0.083 Sr
0.000 0.000 0.250 Sr
0.000 0.000 0.416 Sr
0.000 0.000 0.584 Sr
0.000 0.000 0.750 Sr
0.000 0.000 0.917 Sr
0.333 0.667 0.500 Al
0.667 0.333 0.166 Al
0.667 0.333 0.500 Al
0.667 0.333 0.834 Al
0.333 0.667 0.000 Ga
0.333 0.667 0.166 Ga
0.333 0.667 0.333 Ga
0.333 0.667 0.667 Ga
0.333 0.667 0.834 Ga
0.667 0.333 0.000 Ga
0.667 0.333 0.332 Ga
0.667 0.333 0.668 Ga

=====

What should be chosen as the most stable of them? Choose model Q.

=====

Model P:
TaAlGa3 (PBE-GGA, optimized geometry); total moment = 0.00 μB/atom
1.0
4.726 0.000 0.000
0.000 4.726 0.000
0.000 0.000 4.726
Ta Al Ga
1 1 3
direct
0.000 0.000 0.000 Ta
0.500 0.500 0.500 Al
0.000 0.500 0.500 Ga
0.500 0.000 0.500 Ga
0.500 0.500 0.000 Ga

=====

Model Q:
TaAlGa3 (PBE-GGA, optimized geometry); total moment = 0.00 μB/atom
1.0
4.817 -5.597 0.000
4.817 5.597 0.000
0.000 0.000 6.427
Ta Al Ga
4 4 12
direct
0.215 0.785 0.892 Ta
0.285 0.715 0.392 Ta
0.715 0.285 0.608 Ta
0.785 0.215 0.108 Ta
0.057 0.443 0.750 Al
0.443 0.057 0.250 Al
0.557 0.943 0.750 Al
0.943 0.557 0.250 Al
0.046 0.954 0.191 Ga
0.056 0.263 0.412 Ga
0.237 0.444 0.088 Ga
0.263 0.056 0.588 Ga
0.444 0.237 0.912 Ga
0.454 0.546 0.691 Ga
0.546 0.454 0.309 Ga
0.556 0.763 0.088 Ga
0.737 0.944 0.412 Ga
0.763 0.556 0.912 Ga
0.944 0.737 0.588 Ga
0.954 0.046 0.809 Ga

=====

Model R:
TaAlGa3 (PBE-GGA, optimized geometry); total moment = 0.00 μB/atom
1.0
5.087 0.000 0.000
0.000 5.087 0.000
0.000 0.000 5.087
Ta Al Ga
1 1 3
direct
0.000 0.000 0.000 Ta
0.500 0.500 0.500 Al
0.000 0.000 0.500 Ga
0.000 0.500 0.000 Ga
0.500 0.000 0.000 Ga

=====

What should be chosen as the most stable of them? Choose model Q.

=====

Model P:
TaAl3Ga (PBE-GGA, optimized geometry); total moment = 0.00 μB/atom
1.0
4.651 0.000 0.000
0.000 4.651 0.000
0.000 0.000 4.651
Ta Al Ga
1 3 1
direct
0.000 0.000 0.000 Ta
0.000 0.500 0.500 Al
0.500 0.000 0.500 Al
0.500 0.500 0.000 Al
0.500 0.500 0.500 Ga

=====

Model Q:
TaAl3Ga (PBE-GGA, optimized geometry); total moment = 0.00 μB/atom
1.0
4.711 0.000 0.000
0.000 7.140 0.000
-0.430 0.000 5.368
Ta Al Ga
2 6 2
direct
0.138 0.250 0.479 Ta
0.862 0.750 0.521 Ta
0.174 0.250 0.990 Al
0.362 0.565 0.721 Al
0.362 0.935 0.721 Al
0.638 0.065 0.279 Al
0.638 0.435 0.279 Al
0.826 0.750 0.010 Al
0.325 0.750 0.269 Ga
0.675 0.250 0.731 Ga

=====

What should be chosen as the most stable of them? Choose model Q.

=====

Model P:
TbAl2Ga3 (PBE-GGA, optimized geometry); total moment = 0.00 μB/atom
1.0
4.588 0.000 0.000
-2.294 3.973 0.000
0.000 0.000 6.244
Tb Al Ga
1 2 3
direct
0.000 0.000 0.000 Tb
0.333 0.667 0.697 Al
0.667 0.333 0.303 Al
0.000 0.000 0.500 Ga
0.333 0.667 0.259 Ga
0.667 0.333 0.741 Ga

=====

Model Q:
TbAl2Ga3 (PBE-GGA, optimized geometry); total moment = 0.00 μB/atom
1.0
2.947 -7.501 0.000
2.947 7.501 0.000
-0.318 0.000 5.406
Tb Al Ga
2 4 6
direct
0.174 0.826 0.750 Tb
0.826 0.174 0.250 Tb
0.235 0.236 0.509 Al
0.236 0.235 0.009 Al
0.764 0.765 0.991 Al
0.765 0.764 0.491 Al
0.095 0.401 0.759 Ga
0.349 0.651 0.250 Ga
0.401 0.095 0.259 Ga
0.599 0.905 0.741 Ga
0.651 0.349 0.750 Ga
0.905 0.599 0.241 Ga

=====

What should be chosen as the most stable of them? Choose model P.

=====

Model P:
TbAl3Ga3 (PBE-GGA, optimized geometry); total moment = 0.00 μB/atom
1.0
6.972 0.000 0.000
0.000 6.972 0.000
0.000 0.000 6.972
Tb Al Ga
2 6 6
direct
0.000 0.000 0.000 Tb
0.500 0.500 0.500 Tb
0.000 0.250 0.500 Al
0.000 0.750 0.500 Al
0.250 0.500 0.000 Al
0.500 0.000 0.250 Al
0.500 0.000 0.750 Al
0.750 0.500 0.000 Al
0.000 0.500 0.250 Ga
0.000 0.500 0.750 Ga
0.250 0.000 0.500 Ga
0.500 0.250 0.000 Ga
0.500 0.750 0.000 Ga
0.750 0.000 0.500 Ga

=====

Model Q:
TbAl3Ga3 (PBE-GGA, optimized geometry); total moment = 0.00 μB/atom
1.0
8.296 0.000 0.000
-4.148 7.184 0.000
0.000 0.000 4.591
Tb Al Ga
2 6 6
direct
0.333 0.667 0.250 Tb
0.667 0.333 0.750 Tb
0.080 0.452 0.750 Al
0.373 0.920 0.750 Al
0.452 0.373 0.250 Al
0.548 0.627 0.750 Al
0.627 0.080 0.250 Al
0.920 0.548 0.250 Al
0.049 0.236 0.250 Ga
0.186 0.951 0.250 Ga
0.236 0.186 0.750 Ga
0.764 0.814 0.250 Ga
0.814 0.049 0.750 Ga
0.951 0.764 0.750 Ga

=====

What should be chosen as the most stable of them? Choose model Q.